No. 1
Compound: Ag2AsRuBr
Source: the Alexandria database
Functional: GGA-PBE
Structure: relaxed

a = 5.0233 Å, b = 5.0233 Å, c = 4.6914 Å
α = 90.00°, β = 90.00°, γ = 90.00°
Space group P4/mmm (No. 123)
Asymmetric unit:
Ag 0.0000 0.5000 0.0000 [2 per cell]
As 0.0000 0.0000 0.5000 [1 per cell]
Ru 0.5000 0.5000 0.5000 [1 per cell]
Br 0.5000 0.5000 0.0000 [1 per cell]

Results
The energy relative to the elements, uncorrected is 1.2225 eV/atom. For the total moment, the calculation gives 0.4 μB per cell. The crystal system is tetragonal.

=====

No. 2
Compound: Y6Zn2Ga
Source: the Alexandria database
Functional: GGA-PBE
Structure: relaxed

a = 9.7270 Å, b = 9.9156 Å, c = 9.9487 Å
α = 90.00°, β = 90.00°, γ = 90.00°
Space group Immm (No. 71)
Asymmetric unit:
Y 0.0000 0.2163 0.1777 [8 per cell]
Y 0.1772 0.2353 0.5000 [8 per cell]
Y 0.1977 0.5000 0.2543 [8 per cell]
Zn 0.0000 0.0000 0.3738 [4 per cell]
Zn 0.1370 0.0000 0.0000 [4 per cell]
Ga 0.0000 0.5000 0.0000 [2 per cell]
Ga 0.0000 0.5000 0.5000 [2 per cell]

Results
The formation energy comes out at -0.287 eV/atom. For the total moment, the calculation gives 0.0 μB per cell. The crystal system is orthorhombic.

=====

No. 3
Compound: Er2PS4
Source: the Alexandria database
Functional: GGA-PBE
Structure: relaxed

a = 6.3729 Å, b = 6.3729 Å, c = 7.0615 Å
α = 90.00°, β = 90.00°, γ = 90.00°
Space group I4/mmm (No. 139)
Asymmetric unit:
Er 0.0000 0.5000 0.2500 [4 per cell]
P 0.0000 0.0000 0.0000 [2 per cell]
S 0.2441 0.2441 0.5000 [8 per cell]

Results
The energy relative to the elements, uncorrected is -1.1463 eV/atom. For the total moment, the calculation gives 0.8 μB per cell. The crystal system is tetragonal.

=====

No. 4
Compound: Al2InCl
Source: the Alexandria database
Functional: GGA-PBE
Structure: relaxed

a = 13.1144 Å, b = 2.9990 Å, c = 5.0240 Å
α = 90.00°, β = 112.12°, γ = 90.00°
Space group Cm (No. 8)
Asymmetric unit:
Al 0.0000 0.0000 0.0000 [2 per cell]
Al 0.1881 0.5000 0.3456 [2 per cell]
In 0.3977 0.0000 0.4027 [2 per cell]
Cl 0.1923 0.0000 0.7233 [2 per cell]

Results
The energy relative to the elements, uncorrected is -0.1106 eV/atom. For the total moment, the calculation gives 0.0 μB per cell. The energy above the lowest structure with this stoichiometry is 101.9 meV/atom. The crystal system is monoclinic.